[1]
{
  "formula": "ScTiSb",
  "functional": "PBE",
  "state": "relaxed",
  "lattice": [[-1.807, 1.807, 4.694], [1.807, -1.807, 4.694], [1.807, 1.807, -4.694]],
  "species": ["Sc", "Ti", "Sb"],
  "fractional_positions": [[0.000, 0.000, 0.000], [0.327, 0.327, 0.000], [0.676, 0.676, 0.000]],
  "raw_formation_energy_mev_per_atom": -493
}

***

[2]
{
  "formula": "ScTiSb2",
  "functional": "PBE",
  "state": "relaxed",
  "lattice": [[0.000, 3.531, 3.531], [3.531, 0.000, 3.531], [3.531, 3.531, 0.000]],
  "species": ["Sc", "Ti", "Sb", "Sb"],
  "fractional_positions": [[0.000, 0.000, 0.000], [0.500, 0.500, 0.500], [0.250, 0.250, 0.250], [0.750, 0.750, 0.750]],
  "e_above_lowest_polymorph_kj_per_mol_atoms": 20.7,
  "raw_formation_energy_mev_per_atom": -406
}

***

[3]
{
  "formula": "ScTiSb2",
  "functional": "PBE",
  "state": "relaxed",
  "lattice": [[-3.241, 3.241, 6.363], [3.241, -3.241, 6.363], [3.241, 3.241, -6.363]],
  "species": ["Sc", "Sc", "Ti", "Ti", "Sb", "Sb", "Sb", "Sb"],
  "fractional_positions": [[0.000, 0.000, 0.000], [0.750, 0.250, 0.500], [0.250, 0.750, 0.500], [0.500, 0.500, 0.000], [0.145, 0.625, 0.020], [0.375, 0.395, 0.520], [0.605, 0.125, 0.980], [0.875, 0.855, 0.480]],
  "e_above_lowest_polymorph_kj_per_mol_atoms": 51.7,
  "raw_formation_energy_mev_per_atom": -85
}

***

[4]
{
  "formula": "ScTiSb2",
  "functional": "PBE",
  "state": "relaxed",
  "lattice": [[2.019, 1.166, 6.683], [-2.019, 1.166, 6.683], [0.000, -2.332, 6.683]],
  "species": ["Sc", "Ti", "Sb", "Sb"],
  "fractional_positions": [[0.000, 0.000, 0.000], [0.500, 0.500, 0.500], [0.246, 0.246, 0.246], [0.754, 0.754, 0.754]],
  "e_above_lowest_polymorph_kj_per_mol_atoms": 0.0,
  "raw_formation_energy_mev_per_atom": -620
}

***

[5]
{
  "formula": "ScTi2Sb",
  "functional": "PBE",
  "state": "relaxed",
  "lattice": [[4.207, 0.000, 0.000], [0.000, 4.207, 0.000], [0.000, 0.000, 4.367]],
  "species": ["Sc", "Ti", "Ti", "Sb"],
  "fractional_positions": [[0.000, 0.000, 0.000], [0.000, 0.500, 0.500], [0.500, 0.000, 0.500], [0.500, 0.500, 0.000]],
  "raw_formation_energy_mev_per_atom": -329
}

***

[6]
{
  "formula": "ScTi2Sb",
  "functional": "PBE",
  "state": "relaxed",
  "lattice": [[-3.925, 3.925, 2.826], [3.925, -3.925, 2.826], [3.925, 3.925, -2.826]],
  "species": ["Sc", "Sc", "Ti", "Ti", "Ti", "Ti", "Sb", "Sb"],
  "fractional_positions": [[0.000, 0.000, 0.000], [0.750, 0.250, 0.500], [0.151, 0.625, 0.026], [0.375, 0.401, 0.526], [0.599, 0.125, 0.974], [0.875, 0.849, 0.474], [0.250, 0.750, 0.500], [0.500, 0.500, 0.000]],
  "raw_formation_energy_mev_per_atom": 143
}

***

[7]
{
  "formula": "ScTi3Sb",
  "functional": "PBE",
  "state": "relaxed",
  "lattice": [[5.013, 0.000, 0.000], [0.000, 5.013, 0.000], [0.000, 0.000, 5.013]],
  "species": ["Sc", "Ti", "Ti", "Ti", "Sb"],
  "fractional_positions": [[0.000, 0.000, 0.000], [0.000, 0.500, 0.500], [0.500, 0.000, 0.500], [0.500, 0.500, 0.000], [0.500, 0.500, 0.500]],
  "e_above_lowest_polymorph_kj_per_mol_atoms": 0.0,
  "raw_formation_energy_mev_per_atom": 652
}

***

[8]
{
  "formula": "ScTi2Sb2",
  "functional": "PBE",
  "state": "relaxed",
  "lattice": [[7.593, 0.000, 0.000], [0.000, 7.593, 0.000], [0.000, 0.000, 3.594]],
  "species": ["Sc", "Sc", "Ti", "Ti", "Ti", "Ti", "Sb", "Sb", "Sb", "Sb"],
  "fractional_positions": [[0.000, 0.000, 0.000], [0.500, 0.500, 0.000], [0.145, 0.355, 0.500], [0.355, 0.855, 0.500], [0.645, 0.145, 0.500], [0.855, 0.645, 0.500], [0.149, 0.649, 0.000], [0.351, 0.149, 0.000], [0.649, 0.851, 0.000], [0.851, 0.351, 0.000]],
  "e_above_lowest_polymorph_kj_per_mol_atoms": 0.0,
  "raw_formation_energy_mev_per_atom": -519
}

***

[9]
{
  "formula": "Sc4TiSb5",
  "functional": "PBE",
  "state": "relaxed",
  "lattice": [[-2.060, 2.060, 14.562], [2.060, -2.060, 14.562], [2.060, 2.060, -14.562]],
  "species": ["Sc", "Sc", "Sc", "Sc", "Ti", "Sb", "Sb", "Sb", "Sb", "Sb"],
  "fractional_positions": [[0.100, 0.100, 0.000], [0.302, 0.302, 0.000], [0.698, 0.698, 0.000], [0.900, 0.900, 0.000], [0.500, 0.500, 0.000], [0.000, 0.000, 0.000], [0.200, 0.200, 0.000], [0.403, 0.403, 0.000], [0.597, 0.597, 0.000], [0.800, 0.800, 0.000]],
  "raw_formation_energy_mev_per_atom": -802
}

***

[10]
{
  "formula": "ScTi2TlSb",
  "functional": "PBE",
  "state": "relaxed",
  "lattice": [[5.120, 0.000, 0.000], [0.000, 5.120, 0.000], [0.000, 0.000, 5.673]],
  "species": ["Sc", "Ti", "Ti", "Tl", "Sb"],
  "fractional_positions": [[0.000, 0.000, 0.000], [0.000, 0.500, 0.500], [0.500, 0.000, 0.500], [0.500, 0.500, 0.500], [0.500, 0.500, 0.000]],
  "raw_formation_energy_mev_per_atom": 1060
}

***

[11]
{
  "formula": "ZrScTi2Sb",
  "functional": "PBE",
  "state": "relaxed",
  "lattice": [[5.005, 0.000, 0.000], [0.000, 5.005, 0.000], [0.000, 0.000, 5.205]],
  "species": ["Zr", "Sc", "Ti", "Ti", "Sb"],
  "fractional_positions": [[0.000, 0.000, 0.000], [0.500, 0.500, 0.000], [0.000, 0.500, 0.500], [0.500, 0.000, 0.500], [0.500, 0.500, 0.500]],
  "raw_formation_energy_mev_per_atom": 649
}

***

[12]
{
  "formula": "ScTl2Sb",
  "functional": "PBE",
  "state": "relaxed",
  "lattice": [[0.000, 3.781, 3.781], [3.781, 0.000, 3.781], [3.781, 3.781, 0.000]],
  "species": ["Sc", "Tl", "Tl", "Sb"],
  "fractional_positions": [[0.000, 0.000, 0.000], [0.250, 0.250, 0.250], [0.500, 0.500, 0.500], [0.750, 0.750, 0.750]],
  "e_above_lowest_polymorph_kj_per_mol_atoms": 20.7,
  "raw_formation_energy_mev_per_atom": -56
}

***

[13]
{
  "formula": "Sc5Tl2Sb",
  "functional": "PBE",
  "state": "relaxed",
  "lattice": [[6.491, 0.000, 0.000], [0.000, 12.215, 0.000], [0.000, 0.000, 4.786]],
  "species": ["Sc", "Sc", "Sc", "Sc", "Sc", "Sc", "Sc", "Sc", "Sc", "Sc", "Tl", "Tl", "Tl", "Tl", "Sb", "Sb"],
  "fractional_positions": [[0.000, 0.000, 0.000], [0.151, 0.266, 0.000], [0.157, 0.601, 0.500], [0.343, 0.101, 0.500], [0.349, 0.766, 0.000], [0.500, 0.500, 0.000], [0.651, 0.234, 0.000], [0.657, 0.899, 0.500], [0.843, 0.399, 0.500], [0.849, 0.734, 0.000], [0.100, 0.845, 0.500], [0.400, 0.345, 0.500], [0.600, 0.655, 0.500], [0.900, 0.155, 0.500], [0.000, 0.500, 0.000], [0.500, 0.000, 0.000]],
  "raw_formation_energy_mev_per_atom": -414
}

***

[14]
{
  "formula": "ScTl3Sb",
  "functional": "PBE",
  "state": "relaxed",
  "lattice": [[5.632, 0.000, 0.000], [0.000, 5.632, 0.000], [0.000, 0.000, 5.632]],
  "species": ["Sc", "Tl", "Tl", "Tl", "Sb"],
  "fractional_positions": [[0.000, 0.000, 0.000], [0.000, 0.000, 0.500], [0.000, 0.500, 0.000], [0.500, 0.000, 0.000], [0.500, 0.500, 0.500]],
  "e_above_lowest_polymorph_kj_per_mol_atoms": 0.0,
  "raw_formation_energy_mev_per_atom": 473
}

***

[15]
{
  "formula": "Sc2Tl2Sb",
  "functional": "PBE",
  "state": "relaxed",
  "lattice": [[-2.388, 2.388, 6.189], [2.388, -2.388, 6.189], [2.388, 2.388, -6.189]],
  "species": ["Sc", "Sc", "Tl", "Tl", "Sb"],
  "fractional_positions": [[0.250, 0.750, 0.500], [0.750, 0.250, 0.500], [0.112, 0.112, 0.000], [0.888, 0.888, 0.000], [0.500, 0.500, 0.000]],
  "e_above_lowest_polymorph_kj_per_mol_atoms": 53.2,
  "raw_formation_energy_mev_per_atom": 219
}

***

[16]
{
  "formula": "ScTl2Sb",
  "functional": "PBE",
  "state": "relaxed",
  "lattice": [[-4.273, 4.273, 3.054], [4.273, -4.273, 3.054], [4.273, 4.273, -3.054]],
  "species": ["Sc", "Sc", "Tl", "Tl", "Tl", "Tl", "Sb", "Sb"],
  "fractional_positions": [[0.000, 0.000, 0.000], [0.750, 0.250, 0.500], [0.122, 0.625, 0.997], [0.375, 0.372, 0.497], [0.628, 0.125, 0.003], [0.875, 0.878, 0.503], [0.250, 0.750, 0.500], [0.500, 0.500, 0.000]],
  "e_above_lowest_polymorph_kj_per_mol_atoms": 22.4,
  "raw_formation_energy_mev_per_atom": -39
}

***

[17]
{
  "formula": "ScTl2Sb",
  "functional": "PBE",
  "state": "relaxed",
  "lattice": [[3.930, 0.000, 0.000], [0.000, 3.930, 0.000], [0.000, 0.000, 7.324]],
  "species": ["Sc", "Tl", "Tl", "Sb"],
  "fractional_positions": [[0.000, 0.000, 0.000], [0.000, 0.000, 0.557], [0.500, 0.500, 0.296], [0.500, 0.500, 0.872]],
  "e_above_lowest_polymorph_kj_per_mol_atoms": 0.0,
  "raw_formation_energy_mev_per_atom": -271
}

***

[18]
{
  "formula": "ScTl2Sb",
  "functional": "PBE",
  "state": "relaxed",
  "lattice": [[4.105, 0.000, 0.000], [0.000, 4.105, 0.000], [0.000, 0.000, 6.247]],
  "species": ["Sc", "Tl", "Tl", "Sb"],
  "fractional_positions": [[0.000, 0.000, 0.000], [0.500, 0.500, 0.246], [0.500, 0.500, 0.754], [0.000, 0.000, 0.500]],
  "e_above_lowest_polymorph_kj_per_mol_atoms": 22.3,
  "raw_formation_energy_mev_per_atom": -41
}

***

[19]
{
  "formula": "ScTlSb",
  "functional": "PBE",
  "state": "relaxed",
  "lattice": [[4.702, 0.000, 0.000], [-2.351, 4.072, 0.000], [0.000, 0.000, 4.547]],
  "species": ["Sc", "Tl", "Sb"],
  "fractional_positions": [[0.000, 0.000, 0.000], [0.667, 0.333, 0.385], [0.333, 0.667, 0.797]],
  "e_above_lowest_polymorph_kj_per_mol_atoms": 22.3,
  "raw_formation_energy_mev_per_atom": -149
}

***

[20]
{
  "formula": "ScTl2Sb",
  "functional": "PBE",
  "state": "relaxed",
  "lattice": [[3.062, -5.909, 0.000], [3.062, 5.909, 0.000], [-3.033, 0.000, 3.064]],
  "species": ["Sc", "Tl", "Tl", "Sb"],
  "fractional_positions": [[0.000, 0.000, 0.000], [0.000, 0.500, 0.500], [0.500, 0.000, 0.500], [0.500, 0.500, 0.000]],
  "e_above_lowest_polymorph_kj_per_mol_atoms": 6.0,
  "raw_formation_energy_mev_per_atom": -209
}

***

[21]
{
  "formula": "ScTl2Sb",
  "functional": "PBE",
  "state": "relaxed",
  "lattice": [[1.733, 1.001, 10.586], [-1.733, 1.001, 10.586], [0.000, -2.001, 10.586]],
  "species": ["Sc", "Tl", "Tl", "Sb"],
  "fractional_positions": [[0.000, 0.000, 0.000], [0.496, 0.496, 0.496], [0.742, 0.742, 0.742], [0.260, 0.260, 0.260]],
  "e_above_lowest_polymorph_kj_per_mol_atoms": 12.8,
  "raw_formation_energy_mev_per_atom": -139
}

***

[22]
{
  "formula": "ScTlSb",
  "functional": "PBE",
  "state": "relaxed",
  "lattice": [[-1.955, 1.955, 5.188], [1.955, -1.955, 5.188], [1.955, 1.955, -5.188]],
  "species": ["Sc", "Tl", "Sb"],
  "fractional_positions": [[0.000, 0.000, 0.000], [0.307, 0.307, 0.000], [0.608, 0.608, 0.000]],
  "e_above_lowest_polymorph_kj_per_mol_atoms": 9.2,
  "raw_formation_energy_mev_per_atom": -284
}

***

[23]
{
  "formula": "ScTlSb4",
  "functional": "PBE",
  "state": "relaxed",
  "lattice": [[0.000, 4.431, 4.431], [4.431, 0.000, 4.431], [4.431, 4.431, 0.000]],
  "species": ["Sc", "Tl", "Sb", "Sb", "Sb", "Sb"],
  "fractional_positions": [[0.000, 0.000, 0.000], [0.750, 0.750, 0.750], [0.375, 0.375, 0.375], [0.375, 0.375, 0.876], [0.375, 0.876, 0.375], [0.876, 0.375, 0.375]],
  "raw_formation_energy_mev_per_atom": 126
}

***

[24]
{
  "formula": "ScTl2Sb",
  "functional": "PBE",
  "state": "relaxed",
  "lattice": [[-2.259, 2.377, 4.820], [2.259, -2.377, 4.820], [2.259, 2.377, -4.820]],
  "species": ["Sc", "Tl", "Tl", "Sb"],
  "fractional_positions": [[0.000, 0.000, 0.000], [0.498, 0.498, 0.000], [0.752, 0.252, 0.500], [0.243, 0.743, 0.500]],
  "e_above_lowest_polymorph_kj_per_mol_atoms": 8.9,
  "raw_formation_energy_mev_per_atom": -180
}

***

[25]
{
  "formula": "ScTl2Sb",
  "functional": "PBE",
  "state": "relaxed",
  "lattice": [[1.942, -2.716, 0.000], [1.942, 2.716, 0.000], [0.000, 0.000, 10.049]],
  "species": ["Sc", "Tl", "Tl", "Sb"],
  "fractional_positions": [[0.000, 0.000, 0.000], [0.500, 0.500, 0.238], [0.500, 0.500, 0.762], [0.000, 0.000, 0.500]],
  "e_above_lowest_polymorph_kj_per_mol_atoms": 33.4,
  "raw_formation_energy_mev_per_atom": 75
}

***

[26]
{
  "formula": "ScTlSb3",
  "functional": "PBE",
  "state": "relaxed",
  "lattice": [[5.529, 0.000, 0.000], [0.000, 5.529, 0.000], [0.000, 0.000, 5.529]],
  "species": ["Sc", "Tl", "Sb", "Sb", "Sb"],
  "fractional_positions": [[0.000, 0.000, 0.000], [0.500, 0.500, 0.500], [0.000, 0.000, 0.500], [0.000, 0.500, 0.000], [0.500, 0.000, 0.000]],
  "e_above_lowest_polymorph_kj_per_mol_atoms": 0.0,
  "raw_formation_energy_mev_per_atom": 30
}

***

[27]
{
  "formula": "ScTl2Sb",
  "functional": "PBE",
  "state": "relaxed",
  "lattice": [[5.614, -1.832, 0.000], [5.614, 1.832, 0.000], [-2.375, 0.000, 5.158]],
  "species": ["Sc", "Tl", "Tl", "Sb"],
  "fractional_positions": [[0.000, 0.000, 0.000], [0.257, 0.257, 0.594], [0.497, 0.497, 0.448], [0.722, 0.722, 0.045]],
  "e_above_lowest_polymorph_kj_per_mol_atoms": 10.4,
  "raw_formation_energy_mev_per_atom": -164
}

***

[28]
{
  "formula": "ScTl2Sb",
  "functional": "PBE",
  "state": "relaxed",
  "lattice": [[4.485, 0.000, 0.000], [0.000, 4.485, 0.000], [0.000, 0.000, 5.237]],
  "species": ["Sc", "Tl", "Tl", "Sb"],
  "fractional_positions": [[0.000, 0.000, 0.000], [0.000, 0.500, 0.500], [0.500, 0.000, 0.500], [0.500, 0.500, 0.000]],
  "e_above_lowest_polymorph_kj_per_mol_atoms": 8.8,
  "raw_formation_energy_mev_per_atom": -180
}